Entry 1:
The following is a PBE calculation of FeNiAg2 after structural relaxation, from the Alexandria database.

Summary:
energy above the lowest structure with this stoichiometry	0.1792	eV/atom
space-group type	P4/mmm, No. 123
E_tot	-18.529	eV/f.u.

abc: 2.744 2.744 7.835
angles: 90.00 90.00 90.00
Last column: magnetic moment on the atom in μB.
Fractional coordinates of all 4 atoms:
Ag1 0.000 0.000 0.993  0.02
Ag2 0.000 0.000 0.507  0.02
Fe1 0.500 0.500 0.250  2.92
Ni1 0.500 0.500 0.750  0.32



Entry 2:
The following is a PBE calculation of CrFeCu4 after structural relaxation, from the Alexandria database.

Summary:
space-group type	F-43m, No. 216
E_tot	-33.002	eV/f.u.

abc: 4.773 4.773 4.773
angles: 60.00 60.00 60.00
Last column: magnetic moment on the atom in μB.
Fractional coordinates of all 6 atoms:
Cr1 0.000 0.000 0.000  -3.31
Fe1 0.750 0.750 0.750  2.94
Cu1 0.875 0.375 0.375  -0.05
Cu2 0.375 0.375 0.875  -0.05
Cu3 0.375 0.875 0.375  -0.05
Cu4 0.375 0.375 0.375  -0.05



Entry 3:
The following is a PBE calculation of SrLi3 after structural relaxation, from the Alexandria database.

Summary:
space-group type	Pmmn, No. 59
E_tot	-7.300	eV/f.u.

abc: 5.184 6.769 6.785
angles: 90.00 90.00 90.00
Fractional coordinates of all 8 atoms:
Li1 0.500 0.781 0.000
Li2 0.000 0.219 0.500
Li3 0.000 0.885 0.228
Li4 0.000 0.885 0.772
Li5 0.500 0.115 0.728
Li6 0.500 0.115 0.272
Sr1 0.000 0.389 0.000
Sr2 0.500 0.611 0.500



Entry 4:
The following is a PBE calculation of LiTl8Bi2 after structural relaxation, from the Alexandria database.

Summary:
energy above the lowest structure with this stoichiometry	0.0000	eV/atom
space-group type	C2/m, No. 12
E_tot	-28.929	eV/f.u.

abc: 5.477 7.342 9.574
angles: 112.71 106.62 90.00
Fractional coordinates of all 11 atoms:
Li1 0.500 0.000 0.000
Tl1 0.632 0.871 0.264
Tl2 0.367 0.610 0.734
Tl3 0.183 0.182 0.366
Tl4 0.001 0.263 0.001
Tl5 0.817 0.818 0.634
Tl6 0.633 0.390 0.266
Tl7 0.368 0.129 0.736
Tl8 0.999 0.737 0.999
Bi1 0.187 0.688 0.375
Bi2 0.813 0.312 0.625



Entry 5:
The following is a PBE calculation of Sc2Co3Si5 after structural relaxation, from the Alexandria database.

Summary:
formation energy without anion corrections	-0.6862	eV/atom
energy above the lowest structure with this stoichiometry	0.0558	eV/atom
space-group type	Cmc2_1, No. 36
E_tot	-67.958	eV/f.u.

abc: 3.850 6.221 11.540
angles: 90.00 99.60 90.00
Fractional coordinates of all 20 atoms:
Sc1 0.478 0.740 0.957
Sc2 0.174 0.749 0.348
Sc3 0.826 0.249 0.652
Sc4 0.522 0.240 0.043
Co1 0.778 0.732 0.556
Co2 0.608 0.504 0.215
Co3 0.053 0.962 0.105
Co4 0.222 0.232 0.444
Co5 0.947 0.462 0.895
Co6 0.392 0.004 0.785
Si1 0.403 0.376 0.806
Si2 0.287 0.527 0.574
Si3 0.713 0.027 0.426
Si4 0.119 0.256 0.239
Si5 0.293 0.942 0.586
Si6 0.950 0.075 0.899
Si7 0.707 0.442 0.414
Si8 0.881 0.756 0.761
Si9 0.050 0.575 0.101
Si10 0.597 0.876 0.194



Entry 6:
The following is a PBE calculation of Hf2SbP after structural relaxation, from the Alexandria database.

Summary:
formation energy without anion corrections	-0.4275	eV/atom
energy above the lowest structure with this stoichiometry	0.5591	eV/atom
space-group type	Fm-3m, No. 225
E_tot	-31.149	eV/f.u.

abc: 4.814 4.814 4.814
angles: 60.00 60.00 60.00
Fractional coordinates of all 4 atoms:
Sb1 0.500 0.500 0.500
Hf1 0.250 0.250 0.250
Hf2 0.750 0.750 0.750
P1 0.000 0.000 0.000



Entry 7:
The following is a PBE calculation of ZrMn2Br after structural relaxation, from the Alexandria database.

Summary:
formation energy without anion corrections	0.6179	eV/atom
energy above the lowest structure with this stoichiometry	0.5723	eV/atom
space-group type	Fm-3m, No. 225
E_tot	-26.089	eV/f.u.

abc: 4.673 4.673 4.673
angles: 60.00 60.00 60.00
Last column: magnetic moment on the atom in μB.
Fractional coordinates of all 4 atoms:
Br1 0.000 0.000 0.000  0.03
Mn1 0.250 0.250 0.250  3.21
Mn2 0.750 0.750 0.750  3.21
Zr1 0.500 0.500 0.500  -0.83



Entry 8:
The following is a PBE calculation of Sn2B2Ir after structural relaxation, from the Alexandria database.

Summary:
energy above the lowest structure with this stoichiometry	0.1503	eV/atom
space-group type	P4/mbm, No. 127
E_tot	-27.297	eV/f.u.

abc: 5.995 5.995 4.062
angles: 90.00 90.00 90.00
Fractional coordinates of all 10 atoms:
B1 0.394 0.894 0.000
B2 0.894 0.606 0.000
B3 0.606 0.106 0.000
B4 0.106 0.394 0.000
Ir1 0.000 0.000 0.000
Ir2 0.500 0.500 0.000
Sn1 0.195 0.695 0.500
Sn2 0.695 0.805 0.500
Sn3 0.805 0.305 0.500
Sn4 0.305 0.195 0.500



Entry 9:
The following is a PBE calculation of Sr2HS after structural relaxation, from the Alexandria database.

Summary:
energy above the lowest structure with this stoichiometry	0.0000	eV/atom
space-group type	R-3m, No. 166
E_tot	-15.249	eV/f.u.

abc: 4.148 4.148 7.108
angles: 73.04 73.04 60.00
Last column: magnetic moment on the atom in μB.
Fractional coordinates of all 4 atoms:
Sr1 0.253 0.253 0.240  0.09
Sr2 0.747 0.747 0.760  0.09
S1 0.500 0.500 0.500  -0.01
H1 0.000 0.000 0.000  -0.01



Entry 10:
The following is a PBE calculation of Sr2LiGd after structural relaxation, from the Alexandria database.

Summary:
energy above the lowest structure with this stoichiometry	0.1917	eV/atom
space-group type	R-3m, No. 166
E_tot	-18.060	eV/f.u.

abc: 3.794 3.794 13.188
angles: 81.73 81.73 60.00
Last column: magnetic moment on the atom in μB.
Fractional coordinates of all 4 atoms:
Sr1 0.091 0.091 0.726  0.00
Sr2 0.909 0.909 0.274  0.00
Gd1 0.000 0.000 0.000  7.30
Li1 0.500 0.500 0.500  0.00



Entry 11:
The following is a PBE calculation of Ti2NbCdC after structural relaxation, from the Alexandria database.

Summary:
energy above the lowest structure with this stoichiometry	0.0000	eV/atom
space-group type	P4/mmm, No. 123
E_tot	-37.625	eV/f.u.

abc: 4.250 4.250 4.347
angles: 90.00 90.00 90.00
Fractional coordinates of all 5 atoms:
Nb1 0.000 0.000 0.500
Ti1 0.000 0.500 0.000
Ti2 0.500 0.000 0.000
C1 0.000 0.000 0.000
Cd1 0.500 0.500 0.500



Entry 12:
The following is a PBE calculation of HoFe4C4 after structural relaxation, from the Alexandria database.

Summary:
space-group type	P4_2/n, No. 86
E_tot	-75.023	eV/f.u.

abc: 3.592 6.965 6.965
angles: 90.00 90.00 90.00
Last column: magnetic moment on the atom in μB.
Fractional coordinates of all 18 atoms:
Ho1 0.000 0.000 0.000  -0.04
Ho2 0.500 0.500 0.500  -0.04
Fe1 0.371 0.342 0.899  0.49
Fe2 0.871 0.601 0.842  0.49
Fe3 0.371 0.658 0.101  0.49
Fe4 0.129 0.158 0.601  0.49
Fe5 0.629 0.899 0.658  0.49
Fe6 0.129 0.842 0.399  0.49
Fe7 0.871 0.399 0.158  0.49
Fe8 0.629 0.101 0.342  0.49
C1 0.623 0.832 0.284  -0.01
C2 0.623 0.168 0.716  -0.01
C3 0.123 0.784 0.668  -0.01
C4 0.877 0.332 0.784  -0.01
C5 0.877 0.668 0.216  -0.01
C6 0.377 0.284 0.168  -0.01
C7 0.377 0.716 0.832  -0.01
C8 0.123 0.216 0.332  -0.01



Entry 13:
The following is a PBE calculation of IrRuRh4 after structural relaxation, from the Alexandria database.

Summary:
energy above the lowest structure with this stoichiometry	0.0087	eV/atom
space-group type	Cmc2_1, No. 36
E_tot	-47.499	eV/f.u.

abc: 2.725 7.199 8.847
angles: 90.00 90.00 100.91
Fractional coordinates of all 12 atoms:
Ir1 0.777 0.555 0.516
Ir2 0.223 0.445 0.016
Ru1 0.667 0.334 0.770
Ru2 0.333 0.666 0.270
Rh1 0.997 0.994 0.269
Rh2 0.003 0.006 0.769
Rh3 0.888 0.777 0.020
Rh4 0.112 0.223 0.520
Rh5 0.669 0.339 0.266
Rh6 0.331 0.661 0.766
Rh7 0.444 0.888 0.519
Rh8 0.556 0.112 0.019



Entry 14:
The following is a PBE calculation of KInPb2 after structural relaxation, from the Alexandria database.

Summary:
space-group type	Cmmm, No. 65
E_tot	-11.252	eV/f.u.

abc: 3.611 3.611 10.365
angles: 90.00 90.00 100.75
Fractional coordinates of all 4 atoms:
In1 0.500 0.500 0.250
K1 0.500 0.500 0.750
Pb1 0.000 0.000 0.032
Pb2 0.000 0.000 0.468



Entry 15:
The following is a PBE calculation of LaCe2Zn2Au2 after structural relaxation, from the Alexandria database.

Summary:
space-group type	R-3m, No. 166
E_tot	-29.383	eV/f.u.

abc: 4.524 4.524 9.515
angles: 76.25 76.25 60.00
Fractional coordinates of all 7 atoms:
La1 0.000 0.000 0.000
Ce1 0.141 0.141 0.578
Ce2 0.859 0.859 0.422
Zn1 0.589 0.589 0.234
Zn2 0.411 0.411 0.766
Au1 0.741 0.741 0.776
Au2 0.259 0.259 0.224



Entry 16:
The following is a PBE calculation of Hg4SbOs after structural relaxation, from the Alexandria database.

Summary:
formation energy without anion corrections	0.9424	eV/atom
space-group type	F-43m, No. 216
E_tot	-10.905	eV/f.u.

abc: 5.712 5.712 5.712
angles: 60.00 60.00 60.00
Fractional coordinates of all 6 atoms:
Hg1 0.873 0.376 0.376
Hg2 0.376 0.376 0.873
Hg3 0.376 0.873 0.376
Hg4 0.376 0.376 0.376
Sb1 0.000 0.000 0.000
Os1 0.750 0.750 0.750



Entry 17:
The following is a PBE calculation of Ho2AgRh2 after structural relaxation, from the Alexandria database.

Summary:
space-group type	P4/mbm, No. 127
E_tot	-30.122	eV/f.u.

abc: 3.765 7.355 7.355
angles: 90.00 90.00 90.00
Fractional coordinates of all 10 atoms:
Ho1 0.500 0.169 0.669
Ho2 0.500 0.669 0.831
Ho3 0.500 0.831 0.331
Ho4 0.500 0.331 0.169
Ag1 0.000 0.000 0.000
Ag2 0.000 0.500 0.500
Rh1 0.000 0.367 0.867
Rh2 0.000 0.867 0.633
Rh3 0.000 0.633 0.133
Rh4 0.000 0.133 0.367



Entry 18:
The following is a PBE calculation of K3TeH after structural relaxation, from the Alexandria database.

Summary:
energy above the lowest structure with this stoichiometry	0.2468	eV/atom
space-group type	Fd-3m, No. 227
E_tot	-12.083	eV/f.u.

abc: 10.703 10.703 10.703
angles: 60.00 60.00 60.00
Fractional coordinates of all 20 atoms:
H1 0.125 0.125 0.125
H2 0.125 0.625 0.125
H3 0.625 0.125 0.125
H4 0.125 0.125 0.625
K1 0.760 0.240 0.240
K2 0.010 0.490 0.490
K3 0.490 0.490 0.010
K4 0.490 0.010 0.010
K5 0.010 0.490 0.010
K6 0.760 0.240 0.760
K7 0.490 0.010 0.490
K8 0.010 0.010 0.490
K9 0.240 0.760 0.240
K10 0.240 0.760 0.760
K11 0.240 0.240 0.760
K12 0.760 0.760 0.240
Te1 0.625 0.625 0.625
Te2 0.625 0.125 0.625
Te3 0.125 0.625 0.625
Te4 0.625 0.625 0.125



Entry 19:
The following is a PBE calculation of TiVP2S after structural relaxation, from the Alexandria database.

Summary:
formation energy without anion corrections	0.2208	eV/atom
energy above the lowest structure with this stoichiometry	0.0000	eV/atom
space-group type	P4/mmm, No. 123
E_tot	-30.857	eV/f.u.

abc: 4.536 4.536 4.440
angles: 90.00 90.00 90.00
Fractional coordinates of all 5 atoms:
P1 0.000 0.500 0.000
P2 0.500 0.000 0.000
S1 0.000 0.000 0.500
Ti1 0.500 0.500 0.500
V1 0.000 0.000 0.000



Entry 20:
The following is a PBE calculation of TlIn3 after structural relaxation, from the Alexandria database.

Summary:
space-group type	Cmmm, No. 65
E_tot	-10.476	eV/f.u.

abc: 3.336 3.336 11.054
angles: 90.00 90.00 112.89
Fractional coordinates of all 4 atoms:
Tl1 0.500 0.500 0.250
In1 0.000 0.000 0.994
In2 0.500 0.500 0.750
In3 0.000 0.000 0.506



Entry 21:
The following is a PBE calculation of LiYRh2 after structural relaxation, from the Alexandria database.

Summary:
space-group type	C2/m, No. 12
E_tot	-24.102	eV/f.u.

abc: 5.151 5.151 3.023
angles: 76.81 76.81 112.04
Fractional coordinates of all 4 atoms:
Li1 0.000 0.500 0.500
Rh1 0.000 0.000 0.000
Rh2 0.500 0.500 0.000
Y1 0.500 0.000 0.500



Entry 22:
The following is a PBE calculation of TlCrHg after structural relaxation, from the Alexandria database.

Summary:
energy above the lowest structure with this stoichiometry	0.0833	eV/atom
space-group type	F-43m, No. 216
E_tot	-10.695	eV/f.u.

abc: 4.730 4.730 4.730
angles: 60.00 60.00 60.00
Last column: magnetic moment on the atom in μB.
Fractional coordinates of all 3 atoms:
Cr1 0.750 0.750 0.750  3.80
Hg1 0.000 0.000 0.000  0.03
Tl1 0.500 0.500 0.500  0.02



Entry 23:
The following is a PBE calculation of AgCCl2 after structural relaxation, from the Alexandria database.

Summary:
formation energy without anion corrections	1.2559	eV/atom
energy above the lowest structure with this stoichiometry	0.0565	eV/atom
space-group type	R-3m, No. 166
E_tot	-10.745	eV/f.u.

abc: 10.239 10.239 10.239
angles: 17.84 17.84 17.84
Fractional coordinates of all 4 atoms:
C1 0.500 0.500 0.500
Ag1 0.000 0.000 0.000
Cl1 0.878 0.878 0.878
Cl2 0.122 0.122 0.122



Entry 24:
The following is a PBE calculation of Sc2MoPb after structural relaxation, from the Alexandria database.

Summary:
space-group type	R-3m, No. 166
E_tot	-26.225	eV/f.u.

abc: 10.322 10.322 10.322
angles: 18.54 18.54 18.54
Fractional coordinates of all 4 atoms:
Pb1 0.000 0.000 0.000
Sc1 0.897 0.897 0.897
Sc2 0.103 0.103 0.103
Mo1 0.500 0.500 0.500



Entry 25:
The following is a PBE calculation of NpTl2Te3 after structural relaxation, from the Alexandria database.

Summary:
formation energy without anion corrections	-0.4431	eV/atom
energy above the lowest structure with this stoichiometry	0.0439	eV/atom
space-group type	C2/c, No. 15
E_tot	-29.757	eV/f.u.

abc: 7.709 8.049 8.049
angles: 114.26 100.61 100.61
Last column: magnetic moment on the atom in μB.
Fractional coordinates of all 12 atoms:
Np1 0.250 0.595 0.405  3.63
Np2 0.750 0.405 0.595  3.63
Tl1 0.250 0.924 0.076  -0.02
Tl2 0.250 0.235 0.765  -0.03
Tl3 0.750 0.076 0.924  -0.02
Tl4 0.750 0.765 0.235  -0.03
Te1 0.008 0.230 0.374  -0.15
Te2 0.508 0.374 0.230  -0.15
Te3 0.000 0.500 0.000  -0.12
Te4 0.992 0.770 0.626  -0.15
Te5 0.500 0.000 0.500  -0.12
Te6 0.492 0.626 0.770  -0.15